# 1
DFT (PBE) results for a geometry-optimized HfZr4Tc5 structure.

Structure (POSCAR):
```
HfZr4Tc5
1.0
3.289 0.000 0.000
0.000 3.289 0.000
0.000 0.000 16.423
Hf Zr Tc
1 4 5
direct
0.000 0.000 0.000 Hf
0.000 0.000 0.199 Zr
0.000 0.000 0.400 Zr
0.000 0.000 0.600 Zr
0.000 0.000 0.801 Zr
0.500 0.500 0.099 Tc
0.500 0.500 0.299 Tc
0.500 0.500 0.500 Tc
0.500 0.500 0.701 Tc
0.500 0.500 0.901 Tc
```

Computed properties:
space-group type = P4/mmm (123)
E = -99.77 eV for the cell shown

# 2
DFT (PBE) results for a geometry-optimized BaAcAu structure.

Structure (POSCAR):
```
BaAcAu
1.0
5.587 0.000 0.000
0.000 5.587 0.000
0.000 0.000 7.831
Ba Ac Au
2 2 2
direct
0.250 0.250 0.109 Ba
0.750 0.750 0.891 Ba
0.250 0.750 0.500 Ac
0.750 0.250 0.500 Ac
0.250 0.250 0.689 Au
0.750 0.750 0.311 Au
```

Computed properties:
space-group type = P4/nmm (129)
distance to the lowest polymorph of the same formula = 0.00 eV per formula unit

# 3
DFT (PBE) results for a geometry-optimized DyRe2 structure.

Structure (POSCAR):
```
DyRe2
1.0
0.000 3.832 3.832
3.832 0.000 3.832
3.832 3.832 0.000
Dy Re
2 4
direct
0.125 0.125 0.125 Dy
0.875 0.875 0.875 Dy
0.000 0.500 0.500 Re
0.500 0.000 0.500 Re
0.500 0.500 0.000 Re
0.500 0.500 0.500 Re
```

Computed properties:
space-group type = Fd-3m (227)
E = -60.06 eV for the cell shown

# 4
DFT (PBE) results for a geometry-optimized Ac2GdPb structure.

Structure (POSCAR):
```
Ac2GdPb
1.0
5.291 0.000 0.000
0.000 5.291 0.000
0.000 0.000 5.103
Ac Gd Pb
2 1 1
direct
0.000 0.500 0.000 Ac
0.500 0.000 0.000 Ac
0.000 0.000 0.500 Gd
0.500 0.500 0.500 Pb
```

Computed properties:
space-group type = P4/mmm (123)
distance to the lowest polymorph of the same formula = 0.00 eV per formula unit

# 5
DFT (PBE) results for a geometry-optimized NaMgSn3 structure.

Structure (POSCAR):
```
NaMgSn3
1.0
4.423 0.000 0.000
0.000 11.293 0.000
-2.193 0.000 5.429
Na Mg Sn
2 2 6
direct
0.117 0.250 0.236 Na
0.883 0.750 0.764 Na
0.500 0.000 0.000 Mg
0.500 0.500 0.000 Mg
0.197 0.585 0.393 Sn
0.197 0.915 0.393 Sn
0.409 0.250 0.819 Sn
0.591 0.750 0.181 Sn
0.803 0.085 0.607 Sn
0.803 0.415 0.607 Sn
```

Computed properties:
space-group type = P2_1/m (11)
distance to the lowest polymorph of the same formula = 0.00 eV per formula unit

# 6
DFT (PBE) results for a geometry-optimized Tb4GaGe2 structure.

Structure (POSCAR):
```
Tb4GaGe2
1.0
6.193 -4.627 0.000
6.193 4.627 0.000
-6.191 0.000 6.831
Tb Ga Ge
8 2 4
direct
0.178 0.786 0.921 Tb
0.214 0.822 0.579 Tb
0.258 0.366 0.079 Tb
0.366 0.258 0.579 Tb
0.634 0.742 0.421 Tb
0.742 0.634 0.921 Tb
0.786 0.178 0.421 Tb
0.822 0.214 0.079 Tb
0.125 0.875 0.250 Ga
0.875 0.125 0.750 Ga
0.000 0.500 0.500 Ge
0.500 0.000 0.000 Ge
0.500 0.500 0.000 Ge
0.500 0.500 0.500 Ge
```

Computed properties:
space-group type = C2/c (15)
E = -68.83 eV for the cell shown